A plane-wave DFT calculation with GGA+U was carried out for a geometry-optimized VOF structure.

a = 6.2799 Å, b = 6.2799 Å, c = 6.2799 Å
α = 31.89°, β = 31.89°, γ = 31.89°
Closest atoms and distances in Å follow each position.
Atoms (fractional coordinates):
V  0.2401  0.2401  0.2401  4 O 2.07, 3 F 2.21
V  0.7599  0.7599  0.7599  4 O 2.07, 3 F 2.21
O  0.1242  0.1242  0.1242  4 V 2.07
O  0.8758  0.8758  0.8758  4 V 2.07
F  0.3726  0.3726  0.3726  4 V 2.21-2.37, 3 F 2.44
F  0.6274  0.6274  0.6274  4 V 2.21-2.37, 3 F 2.44

Results
energy = -7.13 eV/atom
size of the total moment = 0.667 μB/atom
crystal system = trigonal
ρ = 4.648 Mg/m³